# 1
A plane-wave DFT calculation with GGA-PBE was carried out for a relaxed U2Si3Ge2 crystal.

* V: 274.8 Å³ per cell
* symmetry: I2_13 (199)
* total magnetization: 3.6 μB/f.u.
* DOS(E_F): 1.73 states/eV/atom
* calculated total energy: -96.01 eV per cell
* raw formation energy: 11 meV/atom

a b c (Å): 7.094 7.094 7.094
angles (deg): 109.47 109.47 109.47
Fractional positions:
U1 0.000 0.011 0.500
U2 0.011 0.500 0.000
U3 0.489 0.489 0.489
U4 0.500 0.000 0.011
Si1 0.247 0.997 0.250
Si2 0.250 0.247 0.997
Si3 0.253 0.503 0.750
Si4 0.503 0.750 0.253
Si5 0.750 0.253 0.503
Si6 0.997 0.250 0.247
Ge1 0.000 0.620 0.500
Ge2 0.500 0.000 0.620
Ge3 0.620 0.500 0.000
Ge4 0.880 0.880 0.880

# 2
A plane-wave DFT calculation with GGA-PBE was carried out for a relaxed SrLiSbS3 crystal.

* V: 284.1 Å³ per cell
* symmetry: P2_1/m (11)
* total magnetization: 0.0 μB/f.u.
* DOS(E_F): 0.00 states/eV/atom
* calculated total energy: -53.55 eV per cell
* raw formation energy: -1113 meV/atom

a b c (Å): 8.423 4.013 8.658
angles (deg): 90.00 103.92 90.00
Fractional positions:
Sr1 0.193 0.250 0.240
Sr2 0.807 0.750 0.760
Li1 0.088 0.250 0.590
Li2 0.912 0.750 0.410
Sb1 0.329 0.750 0.838
Sb2 0.671 0.250 0.162
S1 0.112 0.250 0.873
S2 0.205 0.750 0.509
S3 0.438 0.750 0.166
S4 0.562 0.250 0.834
S5 0.795 0.250 0.491
S6 0.888 0.750 0.127

# 3
A plane-wave DFT calculation with GGA-PBE was carried out for a relaxed KGaBiSe3 crystal.

* V: 396.7 Å³ per cell
* symmetry: P2_1/m (11)
* total magnetization: 0.0 μB/f.u.
* DOS(E_F): 0.22 states/eV/atom
* calculated total energy: -44.61 eV per cell
* raw formation energy: -641 meV/atom

a b c (Å): 9.020 4.616 9.762
angles (deg): 90.00 102.58 90.00
Fractional positions:
K1 0.181 0.250 0.218
K2 0.819 0.750 0.782
Ga1 0.108 0.250 0.592
Ga2 0.892 0.750 0.408
Bi1 0.344 0.750 0.861
Bi2 0.656 0.250 0.139
Se1 0.124 0.250 0.850
Se2 0.186 0.750 0.518
Se3 0.436 0.750 0.150
Se4 0.564 0.250 0.850
Se5 0.814 0.250 0.482
Se6 0.876 0.750 0.150

# 4
A plane-wave DFT calculation with GGA-PBE was carried out for a relaxed Hf2ScHg crystal.

* V: 350.2 Å³ per cell
* symmetry: F-43m (216)
* total magnetization: 2.4 μB/f.u.
* DOS(E_F): 1.24 states/eV/atom
* calculated total energy: -104.35 eV per cell
* E_form: 0.113 eV/atom

a b c (Å): 7.049 7.049 7.049
angles (deg): 90.00 90.00 90.00
Fractional positions:
Hf1 0.000 0.000 0.000
Hf2 0.000 0.500 0.500
Hf3 0.250 0.250 0.250
Hf4 0.250 0.750 0.750
Hf5 0.500 0.000 0.500
Hf6 0.500 0.500 0.000
Hf7 0.750 0.250 0.750
Hf8 0.750 0.750 0.250
Sc1 0.000 0.000 0.500
Sc2 0.000 0.500 0.000
Sc3 0.500 0.000 0.000
Sc4 0.500 0.500 0.500
Hg1 0.250 0.250 0.750
Hg2 0.250 0.750 0.250
Hg3 0.750 0.250 0.250
Hg4 0.750 0.750 0.750

# 5
A plane-wave DFT calculation with GGA-PBE was carried out for a relaxed La2InBi6 crystal.

* V: 332.9 Å³ per cell
* symmetry: C2/m (12)
* total magnetization: 0.0 μB/f.u.
* DOS(E_F): 0.55 states/eV/atom
* calculated total energy: -38.86 eV per cell
* E_form: -0.331 eV/atom

a b c (Å): 9.030 9.030 4.730
angles (deg): 105.11 105.11 65.18
Fractional positions:
La1 0.158 0.158 0.157
La2 0.842 0.842 0.843
In1 0.500 0.500 0.500
Bi1 0.088 0.574 0.332
Bi2 0.266 0.734 0.000
Bi3 0.426 0.912 0.668
Bi4 0.574 0.088 0.332
Bi5 0.734 0.266 0.000
Bi6 0.912 0.426 0.668

# 6
A plane-wave DFT calculation with GGA-PBE was carried out for a relaxed Sm12Tm2Tl crystal.

* V: 1007.9 Å³ per cell
* symmetry: Cmme (67)
* total magnetization: 0.0 μB/f.u.
* DOS(E_F): 1.39 states/eV/atom
* calculated total energy: -132.62 eV per cell
* E_form: 0.109 eV/atom

a b c (Å): 6.768 6.768 24.367
angles (deg): 90.00 90.00 115.43
Fractional positions:
Sm1 0.001 0.501 0.123
Sm2 0.001 0.999 0.928
Sm3 0.019 0.519 0.589
Sm4 0.024 0.976 0.439
Sm5 0.250 0.250 0.195
Sm6 0.250 0.250 0.323
Sm7 0.250 0.250 0.677
Sm8 0.250 0.250 0.805
Sm9 0.476 0.524 0.439
Sm10 0.481 0.981 0.589
Sm11 0.499 0.501 0.928
Sm12 0.499 0.999 0.123
Sm13 0.501 0.001 0.877
Sm14 0.501 0.499 0.072
Sm15 0.519 0.019 0.411
Sm16 0.524 0.476 0.561
Sm17 0.750 0.750 0.195
Sm18 0.750 0.750 0.323
Sm19 0.750 0.750 0.677
Sm20 0.750 0.750 0.805
Sm21 0.976 0.024 0.561
Sm22 0.981 0.481 0.411
Sm23 0.999 0.001 0.072
Sm24 0.999 0.499 0.877
Tm1 0.250 0.750 0.264
Tm2 0.250 0.750 0.739
Tm3 0.750 0.250 0.261
Tm4 0.750 0.250 0.736
Tl1 0.250 0.750 0.000
Tl2 0.750 0.250 0.000

# 7
A plane-wave DFT calculation with GGA-PBE was carried out for a relaxed LiAs2Pt crystal.

* V: 64.5 Å³ per cell
* symmetry: P4/mmm (123)
* total magnetization: 0.0 μB/f.u.
* DOS(E_F): 0.50 states/eV/atom
* calculated total energy: -18.42 eV per cell
* E_form: -0.290 eV/atom

a b c (Å): 4.150 4.150 3.747
angles (deg): 90.00 90.00 90.00
Fractional positions:
Li1 0.000 0.000 0.000
As1 0.000 0.500 0.500
As2 0.500 0.000 0.500
Pt1 0.500 0.500 0.000

# 8
A plane-wave DFT calculation with GGA-PBE was carried out for a relaxed FeAs2RuSe crystal.

* V: 91.0 Å³ per cell
* symmetry: P4/mmm (123)
* total magnetization: 0.1 μB/f.u.
* DOS(E_F): 0.73 states/eV/atom
* calculated total energy: -26.58 eV per cell
* raw formation energy: 788 meV/atom
* polymorph energy (0 for the lowest one): 0.0 meV/atom

a b c (Å): 4.417 4.417 4.666
angles (deg): 90.00 90.00 90.00
Fractional positions:
Fe1 0.000 0.000 0.000
As1 0.000 0.500 0.000
As2 0.500 0.000 0.000
Ru1 0.500 0.500 0.500
Se1 0.000 0.000 0.500

# 9
A plane-wave DFT calculation with GGA-PBE was carried out for a relaxed Sr2PmBr crystal.

* V: 478.4 Å³ per cell
* symmetry: R-3m (166)
* total magnetization: 0.4 μB/f.u.
* DOS(E_F): 1.29 states/eV/atom
* calculated total energy: -34.30 eV per cell
* raw formation energy: -412 meV/atom
* polymorph energy (0 for the lowest one): 183.4 meV/atom

a b c (Å): 3.900 3.900 36.319
angles (deg): 90.00 90.00 120.00
Fractional positions:
Sr1 0.000 0.000 0.102
Sr2 0.000 0.000 0.898
Sr3 0.333 0.667 0.565
Sr4 0.333 0.667 0.768
Sr5 0.667 0.333 0.232
Sr6 0.667 0.333 0.435
Pm1 0.000 0.000 0.000
Pm2 0.333 0.667 0.667
Pm3 0.667 0.333 0.333
Br1 0.000 0.000 0.500
Br2 0.333 0.667 0.167
Br3 0.667 0.333 0.833

# 10
A plane-wave DFT calculation with GGA-PBE was carried out for a relaxed LiAc2Hg crystal.

* V: 460.9 Å³ per cell
* symmetry: R-3m (166)
* total magnetization: 0.0 μB/f.u.
* DOS(E_F): 1.17 states/eV/atom
* calculated total energy: -28.86 eV per cell
* polymorph energy (0 for the lowest one): 427.8 meV/atom
* E_form: 0.203 eV/atom

a b c (Å): 3.787 3.787 37.111
angles (deg): 90.00 90.00 120.00
Fractional positions:
Li1 0.000 0.000 0.000
Li2 0.333 0.667 0.667
Li3 0.667 0.333 0.333
Ac1 0.000 0.000 0.409
Ac2 0.000 0.000 0.591
Ac3 0.333 0.667 0.075
Ac4 0.333 0.667 0.258
Ac5 0.667 0.333 0.742
Ac6 0.667 0.333 0.925
Hg1 0.000 0.000 0.500
Hg2 0.333 0.667 0.167
Hg3 0.667 0.333 0.833

# 11
A plane-wave DFT calculation with GGA-PBE was carried out for a relaxed Ba2CeErSe4 crystal.

* V: 241.2 Å³ per cell
* symmetry: P2/m (10)
* total magnetization: 1.4 μB/f.u.
* DOS(E_F): 1.13 states/eV/atom
* calculated total energy: -43.12 eV per cell
* raw formation energy: -1855 meV/atom

a b c (Å): 7.523 4.333 7.806
angles (deg): 90.00 108.61 90.00
Fractional positions:
Ba1 0.000 0.000 0.000
Ba2 0.500 0.500 0.000
Ce1 0.000 0.500 0.500
Er1 0.500 0.000 0.500
Se1 0.248 0.000 0.717
Se2 0.271 0.500 0.288
Se3 0.729 0.500 0.712
Se4 0.752 0.000 0.283

# 12
A plane-wave DFT calculation with GGA-PBE was carried out for a relaxed KInTe2 crystal.

* V: 259.0 Å³ per cell
* symmetry: I4/mmm (139)
* total magnetization: 0.0 μB/f.u.
* DOS(E_F): 0.39 states/eV/atom
* calculated total energy: -23.01 eV per cell
* raw formation energy: -346 meV/atom

a b c (Å): 5.046 5.046 10.172
angles (deg): 90.00 90.00 90.00
Fractional positions:
K1 0.000 0.000 0.000
K2 0.500 0.500 0.500
In1 0.000 0.000 0.500
In2 0.500 0.500 0.000
Te1 0.000 0.500 0.250
Te2 0.000 0.500 0.750
Te3 0.500 0.000 0.250
Te4 0.500 0.000 0.750

Q: The lowest DOS(E_F) belongs to which entry?
A: SrLiSbS3